A plane-wave DFT calculation with PBE+U was carried out for a relaxed PaTiMoO6 crystal.

Computed properties:
Space group: P-31c (163)
E in eV per atom: -8.80
Total magnetization in μB/atom: 0.33
DOS at the Fermi energy in states/eV/atom: 0.000

a = 5.4724 Å, b = 5.4724 Å, c = 8.8812 Å
α = 90.00°, β = 90.00°, γ = 120.00°
Last column: nearest neighbours and their distance in Å.
Sites, in units of the cell vectors:
O 0.6444 0.9724 0.8682  1 Ti 1.99, 1 Pa 2.19, 1 Mo 2.21
O 0.3280 0.3556 0.8682  1 Ti 1.99, 1 Pa 2.19, 1 Mo 2.21
O 0.3280 0.9724 0.6318  1 Ti 1.99, 1 Pa 2.19, 1 Mo 2.21
O 0.6720 0.0276 0.3682  1 Ti 1.99, 1 Pa 2.19, 1 Mo 2.21
O 0.0276 0.6720 0.8682  1 Ti 1.99, 1 Pa 2.19, 1 Mo 2.21
O 0.0276 0.3556 0.6318  1 Ti 1.99, 1 Pa 2.19, 1 Mo 2.21
O 0.6444 0.6720 0.6318  1 Ti 1.99, 1 Pa 2.19, 1 Mo 2.21
O 0.6720 0.6444 0.1318  1 Ti 1.99, 1 Pa 2.19, 1 Mo 2.21
O 0.3556 0.0276 0.1318  1 Ti 1.99, 1 Pa 2.19, 1 Mo 2.21
O 0.9724 0.6444 0.3682  1 Ti 1.99, 1 Pa 2.19, 1 Mo 2.21
O 0.3556 0.3280 0.3682  1 Ti 1.99, 1 Pa 2.19, 1 Mo 2.21
O 0.9724 0.3280 0.1318  1 Ti 1.99, 1 Pa 2.19, 1 Mo 2.21
Pa 0.6667 0.3333 0.7500  6 O 2.19
Pa 0.3333 0.6667 0.2500  6 O 2.19
Ti 0.3333 0.6667 0.7500  6 O 1.99
Ti 0.6667 0.3333 0.2500  6 O 1.99
Mo 0.0000 0.0000 0.5000  6 O 2.21
Mo 0.0000 0.0000 0.0000  6 O 2.21